DFT (PBE-GGA) results for a geometry-optimized CsCaNb structure.

Properties
V (Å³/cell): 280.9
Energy (eV/atom): -3.451
Energy of formation (eV/atom): 0.857
Calculated density (g/cm3): 3.1
Total magnetization (μB/f.u.): 0.0
Offset from the most stable computed form (meV/atom): 458
DOS(E_F) (states/eV per cell): 4.1

Cell: 6.322 9.529 5.979 Å, 108.24 118.19 63.15°
Sites, in units of the cell vectors:
Cs  0.700  0.892  0.217
Cs  0.251  0.066  0.579
Ca  0.598  0.431  0.435
Ca  0.209  0.536  0.793
Nb  0.912  0.441  0.096
Nb  0.783  0.243  0.933

---

DFT (PBE-GGA) results for a geometry-optimized HoAlAg structure.

Properties
V (Å³/cell): 62.6
Energy (eV/atom): -3.969
Energy of formation (eV/atom): -0.245
Calculated density (g/cm3): 8.0
Total magnetization (μB/f.u.): 0.1
DOS(E_F) (states/eV per cell): 2.4

Cell: 3.320 3.320 6.140 Å, 105.69 105.69 90.00°
Last column: magnetic moment on the atom in μB.
Sites, in units of the cell vectors:
Ho  0.952  0.952  0.903  0.07
Ag  0.264  0.264  0.527  0.00
Al  0.635  0.635  0.270  0.00

---

DFT (PBE-GGA) results for a geometry-optimized Pr2ErRh3 structure.

Properties
V (Å³/cell): 142.2
Energy (eV/atom): -6.556
Energy of formation (eV/atom): -0.527
Calculated density (g/cm3): 8.9
Total magnetization (μB/f.u.): 0.0
DOS(E_F) (states/eV per cell): 1.5

Cell: 4.275 5.715 6.826 Å, 114.75 108.25 90.00°
Sites, in units of the cell vectors:
Pr  0.671  0.171  0.342
Pr  0.329  0.829  0.658
Er  0.000  0.500  0.000
Rh  0.355  0.355  0.710
Rh  0.000  0.000  0.000
Rh  0.645  0.645  0.290